Record 1
Sc2CoSiPd PBE relaxed; energy relative to the elements, uncorrected = 1.237 eV per formula unit
1.0
-3.161 1.085 3.700
-0.929 -4.262 0.456
3.709 -0.455 3.302
Pd Sc Si Co
1 2 1 1
direct
0.000 0.500 0.000
0.500 0.000 0.000
0.000 0.000 0.500
0.000 0.000 0.000
0.500 0.500 0.500

=====

Record 2
SmScCoPd PBE relaxed; calculated formation energy = -0.43 eV/atom
1.0
-2.506 -0.230 4.052
1.464 -2.826 3.553
1.755 1.914 4.001
Co Pd Sc Sm
1 1 1 1
direct
0.250 0.250 0.250
0.750 0.750 0.750
0.000 0.000 0.000
0.500 0.500 0.500

=====

Record 3
ScCoSnPd PBE relaxed; calculated formation energy = -0.57 eV/atom
1.0
4.541 0.000 0.000
2.270 3.932 0.000
2.270 1.311 3.707
Sc Co Sn Pd
1 1 1 1
direct
0.750 0.750 0.750
0.000 0.000 0.000
0.250 0.250 0.250
0.500 0.500 0.500

=====

Record 4
ScCoSn2Pd PBE relaxed; calculated formation energy = 0.37 eV/atom
1.0
5.034 0.000 0.000
0.000 4.735 0.000
0.000 0.000 5.034
Pd Sc Co Sn
1 1 1 2
direct
0.000 0.000 0.000
0.500 0.500 0.500
0.000 0.500 0.000
0.500 0.000 0.000
0.000 0.000 0.500

=====

Record 5
ScCo2SnPd PBE relaxed; calculated formation energy = 1.03 eV/atom
1.0
-3.140 -0.023 -3.406
-2.240 -4.338 2.095
-2.790 2.674 2.554
Sn Pd Sc Co
1 1 1 2
direct
0.000 0.000 0.000
0.500 0.500 0.500
0.000 0.500 0.000
0.500 0.000 0.000
0.000 0.000 0.500

=====

Record 6
TmScCoPd PBE relaxed; calculated formation energy = -0.56 eV/atom; polymorph energy (0 for the lowest one) = 0.19 eV/f.u.
1.0
4.672 0.000 0.000
2.336 4.046 0.000
2.336 1.349 3.815
Co Tm Sc Pd
1 1 1 1
direct
0.500 0.500 0.500
0.750 0.750 0.750
0.250 0.250 0.250
0.000 0.000 0.000

=====

Record 7
TmScCoPd PBE relaxed; calculated formation energy = -0.61 eV/atom; polymorph energy (0 for the lowest one) = 0.00 eV/f.u.
1.0
-3.242 -0.455 -0.132
0.460 -2.796 -1.645
0.237 -3.350 5.761
Co Pd Sc Tm
1 1 1 1
direct
0.500 0.500 0.591
0.500 0.500 0.122
0.000 0.000 0.371
0.000 0.000 0.843

=====

Record 8
Sc4ZnCo2Pd PBE relaxed; calculated formation energy = -0.47 eV/atom
1.0
4.560 0.000 0.000
2.280 3.949 0.000
2.280 1.316 7.469
Sc Pd Co Zn
4 1 2 1
direct
0.875 0.875 0.376
0.125 0.125 0.624
0.375 0.375 0.874
0.625 0.625 0.126
0.500 0.500 0.500
0.251 0.251 0.248
0.749 0.749 0.752
0.000 0.000 0.000

=====

Record 9
Sc4ZnCoPd2 PBE relaxed; calculated formation energy = -0.62 eV/atom
1.0
4.632 0.000 0.000
2.316 4.012 0.000
2.316 1.337 7.580
Sc Pd Co Zn
4 2 1 1
direct
0.381 0.381 0.858
0.870 0.870 0.389
0.130 0.130 0.611
0.619 0.619 0.142
0.749 0.749 0.754
0.251 0.251 0.246
0.500 0.500 0.500
0.000 0.000 0.000

=====

Record 10
CoPdSe2 PBE relaxed; energy relative to the elements, uncorrected = -0.596 eV per formula unit; polymorph energy (0 for the lowest one) = 0.01 eV/f.u.
1.0
-3.398 1.816 0.017
-0.621 -1.227 6.895
4.932 9.208 2.083
Co Se Pd
4 8 4
direct
0.750 0.871 0.379
0.250 0.629 0.879
0.750 0.371 0.121
0.250 0.129 0.621
0.250 0.840 0.507
0.250 0.457 0.692
0.750 0.043 0.192
0.250 0.340 0.993
0.750 0.543 0.308
0.750 0.160 0.493
0.250 0.957 0.808
0.750 0.660 0.007
0.250 0.374 0.415
0.250 0.874 0.085
0.750 0.626 0.585
0.750 0.126 0.915

=====

Record 11
CoPd2Se5 PBE relaxed; energy relative to the elements, uncorrected = -0.199 eV per formula unit
1.0
5.081 -0.242 1.707
1.850 4.111 0.621
0.445 -0.121 7.095
Se Pd Co
5 2 1
direct
0.466 0.862 0.232
0.000 0.500 0.500
0.198 0.862 0.768
0.534 0.138 0.768
0.802 0.138 0.232
0.786 0.500 0.928
0.214 0.500 0.072
0.500 0.500 0.500

=====

Record 12
CoPdSe2 PBE relaxed; energy relative to the elements, uncorrected = 0.556 eV per formula unit; polymorph energy (0 for the lowest one) = 1.16 eV/f.u.
1.0
2.141 -0.850 3.825
-1.181 2.132 3.741
-2.073 -2.217 3.274
Pd Co Se
1 1 2
direct
0.500 0.500 0.500
0.000 0.000 0.000
0.750 0.750 0.750
0.250 0.250 0.250

=====

Record 13
CoPdSe2 PBE relaxed; energy relative to the elements, uncorrected = -0.609 eV per formula unit; polymorph energy (0 for the lowest one) = 0.00 eV/f.u.
1.0
-0.987 -6.602 3.922
0.880 -4.750 6.050
-2.474 -4.320 5.930
Se Co Pd
2 1 1
direct
0.108 0.108 0.108
0.892 0.892 0.892
0.500 0.500 0.500
0.000 0.000 0.000

=====

Record 14
CoPdSe4 PBE relaxed; energy relative to the elements, uncorrected = -1.697 eV per formula unit
1.0
-0.789 -3.303 -1.318
4.856 -0.908 -0.631
0.193 -2.418 5.947
Se Co Pd
4 1 1
direct
0.500 0.753 0.146
0.500 0.247 0.854
0.000 0.747 0.685
0.000 0.253 0.315
0.000 0.000 0.000
0.500 0.000 0.500

=====

Record 15
CoPd2Se6 PBE relaxed; energy relative to the elements, uncorrected = -0.443 eV per formula unit; polymorph energy (0 for the lowest one) = 1.91 eV/f.u.
1.0
5.710 0.000 0.000
0.000 5.710 0.000
0.000 0.000 11.688
Se Pd Co
12 4 2
direct
0.186 0.814 0.343
0.686 0.686 0.843
0.814 0.186 0.657
0.186 0.814 0.657
0.298 0.298 0.500
0.314 0.314 0.843
0.314 0.314 0.157
0.686 0.686 0.157
0.814 0.186 0.343
0.798 0.202 0.000
0.202 0.798 0.000
0.702 0.702 0.500
0.000 0.000 0.167
0.500 0.500 0.667
0.000 0.000 0.833
0.500 0.500 0.333
0.000 0.000 0.500
0.500 0.500 0.000

=====

Record 16
CoPd2Se2 PBE relaxed; energy relative to the elements, uncorrected = -1.382 eV per formula unit
1.0
5.034 0.000 -0.004
0.000 6.033 0.000
-2.512 -3.016 5.321
Co Se Pd
2 4 4
direct
0.250 0.000 0.000
0.750 0.000 0.000
0.142 0.351 0.283
0.858 0.649 0.717
0.358 0.068 0.717
0.642 0.932 0.283
0.613 0.488 0.225
0.387 0.512 0.775
0.113 0.737 0.225
0.887 0.263 0.775

=====

Record 17
Co2PdSe PBE relaxed; energy relative to the elements, uncorrected = 0.950 eV per formula unit; polymorph energy (0 for the lowest one) = 0.00 eV/f.u.
1.0
0.616 -4.180 -0.473
-3.315 -2.661 0.083
-1.256 -1.944 -3.567
Se Co Pd
1 2 1
direct
0.000 0.000 0.000
0.250 0.250 0.250
0.750 0.750 0.750
0.500 0.500 0.500

=====

Record 18
CoPd2Se6 PBE relaxed; energy relative to the elements, uncorrected = -2.355 eV per formula unit; polymorph energy (0 for the lowest one) = 0.00 eV/f.u.
1.0
-0.717 3.675 -0.186
-5.047 -2.896 0.004
6.209 1.704 9.764
Se Co Pd
6 1 2
direct
0.663 0.327 0.612
0.017 0.034 0.307
0.983 0.966 0.693
0.653 0.306 0.040
0.337 0.673 0.388
0.347 0.694 0.960
0.000 0.000 0.500
0.336 0.673 0.172
0.664 0.327 0.828

=====

Record 19
Co2PdSe3 PBE relaxed; energy relative to the elements, uncorrected = -1.338 eV per formula unit
1.0
3.641 0.000 0.000
0.000 6.564 0.199
0.000 -2.493 9.595
Co Se Pd
4 6 2
direct
0.250 0.955 0.582
0.750 0.590 0.091
0.750 0.045 0.418
0.250 0.410 0.909
0.250 0.053 0.817
0.750 0.606 0.861
0.250 0.394 0.139
0.250 0.258 0.490
0.750 0.742 0.510
0.750 0.947 0.183
0.250 0.754 0.300
0.750 0.246 0.700

=====

Record 20
CoPdSe3 PBE relaxed; energy relative to the elements, uncorrected = -0.938 eV per formula unit; polymorph energy (0 for the lowest one) = 0.24 eV/f.u.
1.0
3.702 0.000 0.000
0.000 6.250 -1.251
0.000 0.295 8.809
Se Pd Co
6 2 2
direct
0.250 0.155 0.662
0.250 0.754 0.029
0.750 0.845 0.338
0.750 0.359 0.306
0.250 0.641 0.694
0.750 0.246 0.971
0.750 0.898 0.686
0.250 0.102 0.314
0.250 0.415 0.893
0.750 0.585 0.107

=====

Record 21
Co3PdSe PBE relaxed; energy relative to the elements, uncorrected = 6.533 eV per formula unit; polymorph energy (0 for the lowest one) = 3.25 eV/f.u.
1.0
4.598 0.000 0.000
0.000 4.598 0.000
0.000 0.000 4.598
Se Pd Co
1 1 3
direct
0.500 0.500 0.500
0.000 0.000 0.000
0.000 0.500 0.000
0.000 0.000 0.500
0.500 0.000 0.000

=====

Record 22
CoPdSe3 PBE relaxed; energy relative to the elements, uncorrected = 2.485 eV per formula unit; polymorph energy (0 for the lowest one) = 3.67 eV/f.u.
1.0
-0.074 0.707 4.583
3.955 -2.385 0.432
2.422 3.915 -0.565
Pd Se Co
1 3 1
direct
0.500 0.500 0.500
0.000 0.000 0.500
0.000 0.500 0.000
0.500 0.000 0.000
0.000 0.000 0.000

=====

Record 23
Co2PdSe PBE relaxed; energy relative to the elements, uncorrected = 0.968 eV per formula unit; polymorph energy (0 for the lowest one) = 0.02 eV/f.u.
1.0
6.682 0.000 0.000
0.000 6.682 0.000
3.341 3.341 2.506
Co Pd Se
4 2 2
direct
0.166 0.625 0.250
0.584 0.125 0.250
0.375 0.416 0.750
0.875 0.834 0.750
0.750 0.250 0.500
0.000 0.000 0.000
0.500 0.500 0.000
0.250 0.750 0.500

=====

Record 24
CoPd4Se8 PBE relaxed; energy relative to the elements, uncorrected = -2.553 eV per formula unit
1.0
6.534 0.286 2.948
2.016 6.222 2.948
0.376 0.286 7.158
Se Pd Co
8 4 1
direct
0.738 0.738 0.276
0.262 0.724 0.262
0.255 0.255 0.255
0.738 0.276 0.738
0.262 0.262 0.724
0.276 0.738 0.738
0.724 0.262 0.262
0.745 0.745 0.745
0.500 0.000 0.500
0.000 0.500 0.500
0.500 0.500 0.000
0.000 0.000 0.000
0.500 0.500 0.500

=====

Record 25
Co2PdSe6 PBE relaxed; energy relative to the elements, uncorrected = -2.419 eV per formula unit
1.0
3.663 0.000 0.000
-1.832 4.782 -2.557
0.000 -1.637 11.639
Co Se Pd
2 6 1
direct
0.330 0.660 0.160
0.670 0.340 0.840
0.309 0.618 0.351
0.659 0.318 0.035
0.000 0.000 0.283
0.000 0.000 0.717
0.691 0.382 0.649
0.341 0.682 0.965
0.000 0.000 0.500